#P
First-principles (PBE) data for crystalline TmHf2 at its relaxed geometry, as listed in the Open Quantum Materials Database.

abc: 7.625 7.625 7.625
angles: 155.93 155.93 34.30
Fractional coordinates of all 3 atoms:
Hf 0.322 0.322 0.000
Hf 0.678 0.678 0.000
Tm 0.000 0.000 0.000

---

#Q
First-principles (PBE) data for crystalline TmHf2 at its relaxed geometry, as listed in the Open Quantum Materials Database.

abc: 6.018 6.018 6.018
angles: 60.00 60.00 60.00
Last column: magnetic moment on the atom in μB.
Fractional coordinates of all 6 atoms:
Hf 0.625 0.625 0.125  0.52
Hf 0.625 0.125 0.625  0.55
Hf 0.125 0.625 0.625  0.69
Hf 0.625 0.625 0.625  0.58
Tm 0.000 0.000 0.000  0.44
Tm 0.250 0.250 0.250  0.44

---

Most stable one: #P, least stable one: #Q.

---

#P
First-principles (PBE) data for crystalline Hf3Zn4 at its relaxed geometry, as listed in the Open Quantum Materials Database.

abc: 8.033 8.033 4.458
angles: 90.00 90.00 60.00
Fractional coordinates of all 14 atoms:
Hf 0.111 0.295 0.000
Hf 0.308 0.540 0.000
Hf 0.866 0.737 0.000
Hf 0.412 0.086 0.500
Hf 0.658 0.644 0.500
Hf 0.216 0.841 0.500
Zn 0.983 0.013 0.000
Zn 0.585 0.146 0.000
Zn 0.718 0.412 0.000
Zn 0.429 0.857 0.000
Zn 0.939 0.235 0.500
Zn 0.541 0.367 0.500
Zn 0.095 0.524 0.500
Zn 0.806 0.969 0.500

---

#Q
First-principles (PBE) data for crystalline Hf3Zn4 at its relaxed geometry, as listed in the Open Quantum Materials Database.

abc: 7.737 7.738 4.951
angles: 90.00 90.00 60.00
Fractional coordinates of all 14 atoms:
Hf 0.730 0.425 0.000
Hf 0.282 0.559 0.000
Hf 0.416 0.873 0.000
Hf 0.536 0.365 0.500
Hf 0.670 0.679 0.500
Hf 0.222 0.813 0.500
Zn 0.580 0.137 0.000
Zn 0.143 0.286 0.000
Zn 0.854 0.723 0.000
Zn 0.994 0.997 0.000
Zn 0.372 0.101 0.500
Zn 0.959 0.241 0.500
Zn 0.098 0.515 0.500
Zn 0.809 0.952 0.500

---

Most stable one: #P, least stable one: #Q.

---

#P
First-principles (PBE) data for crystalline HfZr at its relaxed geometry, as listed in the Open Quantum Materials Database.

abc: 16.705 6.448 5.127
angles: 90.00 90.00 90.03
Fractional coordinates of all 24 atoms:
Hf 0.665 0.001 0.000
Hf 0.498 0.248 0.000
Hf 0.999 0.501 0.000
Hf 0.167 0.749 0.000
Hf 0.499 0.752 0.000
Hf 0.000 0.999 0.000
Hf 0.777 0.001 0.500
Hf 0.945 0.249 0.500
Hf 0.447 0.502 0.500
Hf 0.279 0.749 0.500
Hf 0.944 0.751 0.500
Hf 0.445 0.998 0.500
Zr 0.833 0.249 0.000
Zr 0.166 0.250 0.000
Zr 0.663 0.499 0.000
Zr 0.335 0.503 0.000
Zr 0.832 0.752 0.000
Zr 0.334 0.997 0.000
Zr 0.610 0.247 0.500
Zr 0.281 0.251 0.500
Zr 0.778 0.500 0.500
Zr 0.112 0.501 0.500
Zr 0.611 0.753 0.500
Zr 0.112 0.998 0.500

---

#Q
First-principles (PBE) data for crystalline HfZr at its relaxed geometry, as listed in the Open Quantum Materials Database.

abc: 4.439 4.439 4.439
angles: 60.00 60.00 60.00
Last column: magnetic moment on the atom in μB.
Fractional coordinates of all 2 atoms:
Hf 0.000 0.000 0.000  0.42
Zr 0.250 0.250 0.250  0.46

---

#R
First-principles (PBE) data for crystalline HfZr at its relaxed geometry, as listed in the Open Quantum Materials Database.

abc: 4.106 4.106 4.106
angles: 60.00 60.00 60.00
Fractional coordinates of all 2 atoms:
Hf 0.000 0.000 0.000
Zr 0.500 0.500 0.500

---

Most stable one: #P, least stable one: #Q.

---

#P
First-principles (PBE) data for crystalline Hg at its relaxed geometry, as listed in the Open Quantum Materials Database.

abc: 3.297 3.297 3.423
angles: 118.79 118.79 90.00
Fractional coordinates of all 1 atoms:
Hg 0.000 0.000 0.000

---

#Q
First-principles (PBE) data for crystalline Hg at its relaxed geometry, as listed in the Open Quantum Materials Database.

abc: 3.806 5.121 6.363
angles: 66.27 90.00 90.00
Fractional coordinates of all 4 atoms:
Hg 0.502 0.867 0.265
Hg 0.998 0.367 0.265
Hg 0.002 0.633 0.735
Hg 0.498 0.133 0.735

---

Most stable one: #Q, least stable one: #P.

---

#P
First-principles (PBE) data for crystalline Hg at its relaxed geometry, as listed in the Open Quantum Materials Database.

abc: 4.146 4.146 4.523
angles: 117.28 117.28 60.00
Fractional coordinates of all 2 atoms:
Hg 0.750 0.750 0.251
Hg 0.250 0.250 0.749

---

#Q
First-principles (PBE) data for crystalline Hg at its relaxed geometry, as listed in the Open Quantum Materials Database.

abc: 4.709 4.709 6.151
angles: 90.00 90.00 120.00
Fractional coordinates of all 4 atoms:
Hg 0.000 0.000 0.250
Hg 0.333 0.667 0.250
Hg 0.000 0.000 0.750
Hg 0.667 0.333 0.750

---

#R
First-principles (PBE) data for crystalline Hg at its relaxed geometry, as listed in the Open Quantum Materials Database.

abc: 10.303 10.303 10.303
angles: 109.47 109.47 109.47
Fractional coordinates of all 29 atoms:
Hg 0.000 0.000 0.000
Hg 0.346 0.000 0.000
Hg 0.588 0.309 0.000
Hg 0.000 0.346 0.000
Hg 0.309 0.588 0.000
Hg 0.807 0.622 0.000
Hg 0.622 0.807 0.000
Hg 0.378 0.378 0.185
Hg 0.815 0.193 0.193
Hg 0.193 0.815 0.193
Hg 0.691 0.691 0.279
Hg 0.588 0.000 0.309
Hg 0.000 0.588 0.309
Hg 0.000 0.000 0.346
Hg 0.378 0.185 0.378
Hg 0.185 0.378 0.378
Hg 0.721 0.412 0.412
Hg 0.412 0.721 0.412
Hg 0.309 0.000 0.588
Hg 0.000 0.309 0.588
Hg 0.807 0.000 0.622
Hg 0.000 0.807 0.622
Hg 0.654 0.654 0.654
Hg 0.691 0.279 0.691
Hg 0.279 0.691 0.691
Hg 0.412 0.412 0.721
Hg 0.622 0.000 0.807
Hg 0.000 0.622 0.807
Hg 0.193 0.193 0.815

---

Most stable one: #R, least stable one: #Q.

---

#P
First-principles (PBE) data for crystalline Hg at its relaxed geometry, as listed in the Open Quantum Materials Database.

abc: 3.486 3.486 8.584
angles: 101.71 78.29 120.00
Fractional coordinates of all 3 atoms:
Hg 0.000 0.000 0.000
Hg 0.222 0.778 0.334
Hg 0.778 0.222 0.666

---

#Q
First-principles (PBE) data for crystalline Hg at its relaxed geometry, as listed in the Open Quantum Materials Database.

abc: 4.432 4.432 5.080
angles: 90.00 90.00 120.00
Fractional coordinates of all 3 atoms:
Hg 0.668 0.668 0.000
Hg 0.332 0.000 0.333
Hg 0.000 0.332 0.667

---

Most stable one: #P, least stable one: #Q.

---

#P
First-principles (PBE) data for crystalline LiHoHgS3 at its relaxed geometry, as listed in the Open Quantum Materials Database.

abc: 4.084 7.406 10.421
angles: 90.00 90.00 73.99
Fractional coordinates of all 12 atoms:
Hg 0.627 0.746 0.250
Hg 0.373 0.254 0.750
Ho 0.000 0.000 0.000
Ho 0.000 0.000 0.500
Li 0.365 0.270 0.250
Li 0.635 0.730 0.750
S 0.631 0.737 0.023
S 0.951 0.099 0.250
S 0.631 0.737 0.477
S 0.369 0.263 0.523
S 0.049 0.901 0.750
S 0.369 0.263 0.977

---

#Q
First-principles (PBE) data for crystalline LiHoHgS3 at its relaxed geometry, as listed in the Open Quantum Materials Database.

abc: 10.524 3.977 12.585
angles: 90.00 90.00 90.00
Fractional coordinates of all 24 atoms:
Hg 0.374 0.250 0.106
Hg 0.874 0.250 0.394
Hg 0.126 0.750 0.606
Hg 0.626 0.750 0.894
Ho 0.121 0.750 0.239
Ho 0.621 0.750 0.261
Ho 0.379 0.250 0.739
Ho 0.879 0.250 0.761
Li 0.854 0.250 0.080
Li 0.354 0.250 0.420
Li 0.646 0.750 0.580
Li 0.146 0.750 0.920
S 0.145 0.250 0.085
S 0.602 0.250 0.111
S 0.869 0.750 0.206
S 0.369 0.750 0.294
S 0.102 0.250 0.389
S 0.645 0.250 0.415
S 0.355 0.750 0.585
S 0.898 0.750 0.611
S 0.631 0.250 0.706
S 0.131 0.250 0.794
S 0.398 0.750 0.889
S 0.855 0.750 0.915

---

Most stable one: #Q, least stable one: #P.

---

#P
First-principles (PBE) data for crystalline LiHoHgTe3 at its relaxed geometry, as listed in the Open Quantum Materials Database.

abc: 7.637 7.637 11.546
angles: 90.00 90.00 32.62
Fractional coordinates of all 12 atoms:
Hg 0.477 0.477 0.250
Hg 0.523 0.523 0.750
Ho 0.000 0.000 0.000
Ho 0.000 0.000 0.500
Li 0.802 0.802 0.250
Li 0.198 0.198 0.750
Te 0.355 0.355 0.060
Te 0.103 0.103 0.250
Te 0.355 0.355 0.440
Te 0.645 0.645 0.560
Te 0.897 0.897 0.750
Te 0.645 0.645 0.940

---

#Q
First-principles (PBE) data for crystalline LiHoHgTe3 at its relaxed geometry, as listed in the Open Quantum Materials Database.

abc: 4.302 12.739 13.737
angles: 90.00 90.00 90.00
Fractional coordinates of all 24 atoms:
Hg 0.750 0.287 0.231
Hg 0.250 0.787 0.269
Hg 0.750 0.213 0.731
Hg 0.250 0.713 0.769
Ho 0.750 0.676 0.060
Ho 0.250 0.176 0.440
Ho 0.750 0.824 0.560
Ho 0.250 0.324 0.940
Li 0.750 0.010 0.116
Li 0.250 0.510 0.384
Li 0.750 0.490 0.616
Li 0.250 0.990 0.884
Te 0.250 0.855 0.065
Te 0.750 0.422 0.073
Te 0.250 0.133 0.226
Te 0.750 0.633 0.274
Te 0.250 0.922 0.427
Te 0.750 0.355 0.435
Te 0.250 0.645 0.565
Te 0.750 0.078 0.573
Te 0.250 0.367 0.726
Te 0.750 0.867 0.774
Te 0.250 0.578 0.927
Te 0.750 0.145 0.935

---

Most stable one: #P, least stable one: #Q.

---

#P
First-principles (PBE) data for crystalline HoLu2Hg at its relaxed geometry, as listed in the Open Quantum Materials Database.

abc: 5.543 6.609 6.609
angles: 116.47 90.00 90.00
Fractional coordinates of all 8 atoms:
Hg 0.750 0.362 0.108
Hg 0.250 0.108 0.362
Ho 0.250 0.605 0.364
Ho 0.750 0.364 0.605
Lu 0.750 0.841 0.163
Lu 0.750 0.875 0.682
Lu 0.250 0.163 0.841
Lu 0.250 0.682 0.875

---

#Q
First-principles (PBE) data for crystalline HoLu2Hg at its relaxed geometry, as listed in the Open Quantum Materials Database.

abc: 5.330 6.714 6.714
angles: 64.05 90.00 90.00
Fractional coordinates of all 8 atoms:
Hg 0.000 0.837 0.328
Hg 0.000 0.328 0.837
Ho 0.000 0.341 0.341
Ho 0.500 0.660 0.660
Lu 0.500 0.161 0.161
Lu 0.500 0.664 0.165
Lu 0.500 0.165 0.664
Lu 0.000 0.845 0.845

---

#R
First-principles (PBE) data for crystalline HoLu2Hg at its relaxed geometry, as listed in the Open Quantum Materials Database.

abc: 6.770 6.770 5.329
angles: 90.00 90.00 120.28
Fractional coordinates of all 8 atoms:
Hg 0.164 0.836 0.250
Hg 0.836 0.164 0.750
Ho 0.674 0.326 0.250
Ho 0.326 0.674 0.750
Lu 0.160 0.328 0.250
Lu 0.672 0.840 0.250
Lu 0.328 0.160 0.750
Lu 0.840 0.672 0.750

---

Most stable one: #R, least stable one: #Q.